Entry 1:
# BaYRu2

A relaxed structure of BaYRu2 (PBE, the Alexandria database).

Properties
- crystal system = monoclinic

Cell: 7.377 4.339 8.118 Å, 90.00 107.71 90.00°
Sites, in units of the cell vectors:
Ba (0.000, 0.000, 0.000)
Ba (0.500, 0.500, 0.000)
Y (0.324, 0.500, 0.477)
Y (0.824, 0.000, 0.477)
Ru (0.077, 0.500, 0.698)
Ru (0.216, 0.000, 0.688)
Ru (0.577, 0.000, 0.698)
Ru (0.716, 0.500, 0.688)


Entry 2:
# FeCuPt2

A relaxed structure of FeCuPt2 (PBE, the Alexandria database).

Properties
- crystal system = monoclinic

Cell: 9.050 2.767 4.592 Å, 90.00 101.29 90.00°
Sites, in units of the cell vectors:
Fe (0.000, 0.000, 0.000)
Fe (0.500, 0.500, 0.000)
Cu (0.249, 0.500, 0.277)
Cu (0.749, 0.000, 0.277)
Pt (0.253, 0.000, 0.791)
Pt (0.499, 0.000, 0.490)
Pt (0.753, 0.500, 0.791)
Pt (0.999, 0.500, 0.490)


Entry 3:
# NdGa4Ag2Pd

A relaxed structure of NdGa4Ag2Pd (PBE, the Alexandria database).

Properties
- crystal system = trigonal

Cell: 9.266 9.266 9.266 Å, 27.64 27.64 27.64°
Sites, in units of the cell vectors:
Nd (0.000, 0.000, 0.000)
Ga (0.131, 0.131, 0.131)
Ga (0.398, 0.398, 0.398)
Ga (0.602, 0.602, 0.602)
Ga (0.869, 0.869, 0.869)
Ag (0.242, 0.242, 0.242)
Ag (0.758, 0.758, 0.758)
Pd (0.500, 0.500, 0.500)


Entry 4:
# Pm4BiN

A relaxed structure of Pm4BiN (PBE, the Alexandria database).

Properties
- energy relative to the elements, uncorrected (eV/atom) = -0.698
- crystal system = monoclinic

Cell: 8.187 8.187 7.379 Å, 105.61 105.61 43.89°
Sites, in units of the cell vectors:
Pm (0.029, 0.176, 0.441)
Pm (0.176, 0.029, 0.941)
Pm (0.251, 0.363, 0.816)
Pm (0.363, 0.251, 0.316)
Pm (0.637, 0.749, 0.684)
Pm (0.749, 0.637, 0.184)
Pm (0.824, 0.971, 0.059)
Pm (0.971, 0.824, 0.559)
Bi (0.391, 0.609, 0.250)
Bi (0.609, 0.391, 0.750)
N (0.000, 0.500, 0.500)
N (0.500, 0.000, 0.000)


Entry 5:
# Tl2In7Ga3

A relaxed structure of Tl2In7Ga3 (PBE, the Alexandria database).

Properties
- crystal system = monoclinic

Cell: 5.130 3.361 19.070 Å, 90.00 97.61 90.00°
Sites, in units of the cell vectors:
Tl (0.146, 0.000, 0.299)
Tl (0.854, 0.000, 0.701)
In (0.063, 0.500, 0.130)
In (0.298, 0.000, 0.591)
In (0.409, 0.000, 0.813)
In (0.500, 0.500, 0.000)
In (0.591, 0.000, 0.187)
In (0.702, 0.000, 0.409)
In (0.937, 0.500, 0.870)
Ga (0.000, 0.000, 0.000)
Ga (0.224, 0.500, 0.452)
Ga (0.776, 0.500, 0.548)


Entry 6:
# K3ZrTa

A relaxed structure of K3ZrTa (PBE, the Alexandria database).

Properties
- polymorph energy (0 for the lowest one) (kJ per mole of atoms) = 0.0
- crystal system = cubic

Cell: 6.527 6.527 6.527 Å, 90.00 90.00 90.00°
Sites, in units of the cell vectors:
K (0.000, 0.000, 0.500)
K (0.000, 0.500, 0.000)
K (0.500, 0.000, 0.000)
Zr (0.500, 0.500, 0.500)
Ta (0.000, 0.000, 0.000)


Entry 7:
# Sc3ZnGe3

A relaxed structure of Sc3ZnGe3 (PBE, the Alexandria database).

Properties
- crystal system = hexagonal

Cell: 8.164 8.164 5.466 Å, 90.00 90.00 120.00°
Sites, in units of the cell vectors:
Sc (0.042, 0.354, 0.250)
Sc (0.312, 0.958, 0.250)
Sc (0.354, 0.312, 0.750)
Sc (0.646, 0.688, 0.250)
Sc (0.688, 0.042, 0.750)
Sc (0.958, 0.646, 0.750)
Zn (0.333, 0.667, 0.750)
Zn (0.667, 0.333, 0.250)
Ge (0.037, 0.350, 0.750)
Ge (0.313, 0.963, 0.750)
Ge (0.350, 0.313, 0.250)
Ge (0.650, 0.687, 0.750)
Ge (0.687, 0.037, 0.250)
Ge (0.963, 0.650, 0.250)


Entry 8:
# CoHg2Pt2

A relaxed structure of CoHg2Pt2 (PBE, the Alexandria database).

Properties
- crystal system = tetragonal

Cell: 6.536 6.536 4.308 Å, 90.00 90.00 90.00°
Sites, in units of the cell vectors:
Co (0.000, 0.000, 0.000)
Co (0.500, 0.500, 0.000)
Hg (0.168, 0.332, 0.500)
Hg (0.332, 0.832, 0.500)
Hg (0.668, 0.168, 0.500)
Hg (0.832, 0.668, 0.500)
Pt (0.142, 0.642, 0.000)
Pt (0.358, 0.142, 0.000)
Pt (0.642, 0.858, 0.000)
Pt (0.858, 0.358, 0.000)


Entry 9:
# Pr2Br2Cl3

A relaxed structure of Pr2Br2Cl3 (PBE, the Alexandria database).

Properties
- energy relative to the elements, uncorrected (eV/atom) = -1.995
- crystal system = monoclinic

Cell: 13.558 3.841 8.278 Å, 90.00 114.51 90.00°
Sites, in units of the cell vectors:
Pr (0.182, 0.000, 0.210)
Pr (0.318, 0.500, 0.790)
Pr (0.682, 0.500, 0.210)
Pr (0.818, 0.000, 0.790)
Br (0.152, 0.000, 0.811)
Br (0.348, 0.500, 0.189)
Br (0.652, 0.500, 0.811)
Br (0.848, 0.000, 0.189)
Cl (0.000, 0.500, 0.000)
Cl (0.136, 0.500, 0.435)
Cl (0.364, 0.000, 0.565)
Cl (0.500, 0.000, 0.000)
Cl (0.636, 0.000, 0.435)
Cl (0.864, 0.500, 0.565)


Entry 10:
# HfV2ZnH

A relaxed structure of HfV2ZnH (PBE, the Alexandria database).

Properties
- crystal system = tetragonal

Cell: 3.880 3.880 4.309 Å, 90.00 90.00 90.00°
Sites, in units of the cell vectors:
Hf (0.000, 0.000, 0.000)
V (0.000, 0.500, 0.500)
V (0.500, 0.000, 0.500)
Zn (0.500, 0.500, 0.000)
H (0.000, 0.000, 0.500)


Entry 11:
# FeTeP2

A relaxed structure of FeTeP2 (PBE, the Alexandria database).

Properties
- energy relative to the elements, uncorrected (eV/atom) = 0.083
- crystal system = tetragonal

Cell: 2.912 2.912 8.890 Å, 90.00 90.00 90.00°
Sites, in units of the cell vectors:
Fe (0.000, 0.000, 0.000)
Te (0.000, 0.000, 0.500)
P (0.500, 0.500, 0.140)
P (0.500, 0.500, 0.860)


Entry 12:
# LiNdAgPt

A relaxed structure of LiNdAgPt (PBE, the Alexandria database).

Properties
- crystal system = cubic

Cell: 6.958 6.958 6.958 Å, 90.00 90.00 90.00°
Sites, in units of the cell vectors:
Li (0.000, 0.000, 0.000)
Li (0.000, 0.500, 0.500)
Li (0.500, 0.000, 0.500)
Li (0.500, 0.500, 0.000)
Nd (0.000, 0.000, 0.500)
Nd (0.000, 0.500, 0.000)
Nd (0.500, 0.000, 0.000)
Nd (0.500, 0.500, 0.500)
Ag (0.250, 0.250, 0.750)
Ag (0.250, 0.750, 0.250)
Ag (0.750, 0.250, 0.250)
Ag (0.750, 0.750, 0.750)
Pt (0.250, 0.250, 0.250)
Pt (0.250, 0.750, 0.750)
Pt (0.750, 0.250, 0.750)
Pt (0.750, 0.750, 0.250)


DOS(E_F) for the records above, in order: 1.312, 0.814, 0.423, 0.914, 0.441, 4.325, 0.373, 0.741, 0.163, 1.098, 0.416, 0.882 states/eV/atom
VASP energy for the records above, in order: -53.179, -50.503, -30.590, -70.800, -32.163, -12.374, -74.605, -37.625, -64.825, -32.996, -22.090, -70.261 eV/cell